Record 1
Entry from the Alexandria database: ReNi2Pb after structural relaxation (PBE).

Cell: 8.7843 8.7843 8.7843 Å, 19.17 19.17 19.17°
Last column: nearest neighbours and their distance in Å.
Element x y z (fractional)
Re (0.0000, 0.0000, 0.0000)  6 Ni 2.57
Ni (0.2586, 0.2586, 0.2586)  3 Re 2.57
Ni (0.7414, 0.7414, 0.7414)  3 Re 2.57
Pb (0.5000, 0.5000, 0.5000)  6 Ni 2.92, 6 Pb 2.92

V in Å³ per cell: 63.9
Magnetization in μB per formula unit: 0.00

***

Record 2
Entry from the Alexandria database: ReNi2Pb after structural relaxation (PBE).

Cell: 4.8606 4.8606 4.8606 Å, 133.00 133.00 68.65°
Last column: nearest neighbours and their distance in Å.
Element x y z (fractional)
Re (0.0000, 0.0000, 0.0000)  8 Ni 2.74-2.79, 4 Pb 2.79
Ni (0.2500, 0.7500, 0.5000)  4 Pb 2.74, 4 Re 2.79, 4 Ni 2.79
Ni (0.5000, 0.5000, 0.0000)  4 Re 2.74, 4 Pb 2.79, 4 Ni 2.79
Pb (0.7500, 0.2500, 0.5000)  8 Ni 2.74-2.79, 4 Re 2.79

V in Å³ per cell: 60.3
Magnetization in μB per formula unit: 1.32

***

Record 3
Entry from the Alexandria database: ReNi2Pb after structural relaxation (PBE).

Cell: 4.3735 4.3735 5.4666 Å, 96.96 96.96 38.53°
Last column: nearest neighbours and their distance in Å.
Element x y z (fractional)
Re (0.0000, 0.0000, 0.0000)  6 Ni 2.49-2.56
Ni (0.2597, 0.2597, 0.8138)  3 Re 2.49-2.56, 2 Ni 2.52, 1 Pb 2.78
Ni (0.7403, 0.7403, 0.1862)  3 Re 2.49-2.56, 2 Ni 2.52, 1 Pb 2.78
Pb (0.5000, 0.5000, 0.5000)  6 Ni 2.78-2.95, 2 Pb 2.89, 4 Re 3.09

V in Å³ per cell: 64.6
Magnetization in μB per formula unit: 0.00

***

Record 4
Entry from the Alexandria database: ReNi2Pb after structural relaxation (PBE).

Cell: 8.7148 8.7148 8.7148 Å, 19.43 19.43 19.43°
Last column: nearest neighbours and their distance in Å.
Element x y z (fractional)
Re (0.0000, 0.0000, 0.0000)  3 Ni 2.51
Ni (0.2614, 0.2614, 0.2614)  3 Ni 2.50, 3 Re 2.51
Ni (0.5231, 0.5231, 0.5231)  3 Ni 2.50
Pb (0.7679, 0.7679, 0.7679)  3 Ni 2.83, 6 Pb 2.94, 3 Re 3.10

V in Å³ per cell: 64.1
Magnetization in μB per formula unit: 0.80

***

Record 5
Entry from the Alexandria database: Re4NiPb after structural relaxation (PBE).

Cell: 5.2559 5.2559 5.2559 Å, 60.00 60.00 60.00°
Last column: nearest neighbours and their distance in Å.
Element x y z (fractional)
Re (0.1234, 0.1234, 0.1234)  6 Re 2.60-2.66
Re (0.1234, 0.1234, 0.6297)  6 Re 2.60-2.66
Re (0.1234, 0.6297, 0.1234)  6 Re 2.60-2.66
Re (0.6297, 0.1234, 0.1234)  6 Re 2.60-2.66
Ni (0.7500, 0.7500, 0.7500)  12 Re 3.08, 4 Pb 3.22
Pb (0.5000, 0.5000, 0.5000)  12 Re 3.09, 4 Ni 3.22

V in Å³ per cell: 102.7
Magnetization in μB per formula unit: 0.00

***

Record 6
Entry from the Alexandria database: ReNi2Pb after structural relaxation (PBE).

Cell: 2.8908 3.6486 5.8590 Å, 90.00 90.12 90.00°
Last column: nearest neighbours and their distance in Å.
Element x y z (fractional)
Re (0.0000, 0.0000, 0.0000)  8 Ni 2.62, 2 Re 2.89, 2 Pb 2.93
Ni (0.4989, 0.5000, 0.7945)  1 Ni 2.41, 4 Re 2.62
Ni (0.5011, 0.5000, 0.2055)  1 Ni 2.41, 4 Re 2.62
Pb (0.0000, 0.0000, 0.5000)  2 Pb 2.89, 8 Ni 2.89-2.90, 2 Re 2.93

V in Å³ per cell: 61.8
Magnetization in μB per formula unit: 0.00

***

The records above yield ΔE_f values of 52.3 61.3 53.1 68.5 84.9 43.0 kJ/mol of atoms, respectively.